Material: K12Ag3Au5
Method: DFT, GGA-PBE
State: relaxed

The value obtained for the density of states at the Fermi level is 15.28 states/eV/f.u. The formation energy comes out at -0.04 eV/atom.

Structure (CIF):
```
data_K12Ag3Au5
_chemical_formula_sum 'K48 Ag12 Au20'
_symmetry_space_group_name_H-M 'P 1'
_symmetry_Int_Tables_number 1
_cell_length_a 17.235
_cell_length_b 17.235
_cell_length_c 17.235
_cell_angle_alpha 109.47
_cell_angle_beta 109.47
_cell_angle_gamma 109.47
loop_
_symmetry_equiv_pos_as_xyz
'x,y,z'
loop_
_atom_site_label
_atom_site_fract_x
_atom_site_fract_y
_atom_site_fract_z
K1 0.048 0.220 0.129
K2 0.048 0.328 0.919
K3 0.081 0.629 0.409
K4 0.081 0.952 0.672
K5 0.091 0.720 0.672
K6 0.091 0.871 0.419
K7 0.129 0.048 0.220
K8 0.129 0.581 0.909
K9 0.172 0.220 0.591
K10 0.172 0.452 0.581
K11 0.220 0.129 0.048
K12 0.220 0.591 0.172
K13 0.280 0.328 0.909
K14 0.280 0.452 0.371
K15 0.328 0.909 0.280
K16 0.328 0.919 0.048
K17 0.371 0.280 0.452
K18 0.371 0.591 0.919
K19 0.409 0.081 0.629
K20 0.409 0.828 0.780
K21 0.419 0.091 0.871
K22 0.419 0.828 0.548
K23 0.452 0.371 0.280
K24 0.452 0.581 0.172
K25 0.548 0.419 0.828
K26 0.548 0.629 0.720
K27 0.581 0.172 0.452
K28 0.581 0.909 0.129
K29 0.591 0.172 0.220
K30 0.591 0.919 0.371
K31 0.629 0.409 0.081
K32 0.629 0.720 0.548
K33 0.672 0.081 0.952
K34 0.672 0.091 0.720
K35 0.720 0.548 0.629
K36 0.720 0.672 0.091
K37 0.780 0.409 0.828
K38 0.780 0.871 0.952
K39 0.828 0.548 0.419
K40 0.828 0.780 0.409
K41 0.871 0.419 0.091
K42 0.871 0.952 0.780
K43 0.909 0.129 0.581
K44 0.909 0.280 0.328
K45 0.919 0.048 0.328
K46 0.919 0.371 0.591
K47 0.952 0.672 0.081
K48 0.952 0.780 0.871
Ag1 0.125 0.250 0.375
Ag2 0.125 0.375 0.750
Ag3 0.250 0.375 0.125
Ag4 0.250 0.875 0.625
Ag5 0.375 0.125 0.250
Ag6 0.375 0.750 0.125
Ag7 0.625 0.250 0.875
Ag8 0.625 0.875 0.750
Ag9 0.750 0.125 0.375
Ag10 0.750 0.625 0.875
Ag11 0.875 0.625 0.250
Ag12 0.875 0.750 0.625
Au1 0.000 0.000 0.000
Au2 0.000 0.000 0.500
Au3 0.000 0.500 0.000
Au4 0.000 0.500 0.500
Au5 0.125 0.750 0.875
Au6 0.125 0.875 0.250
Au7 0.250 0.125 0.875
Au8 0.250 0.625 0.375
Au9 0.375 0.250 0.625
Au10 0.375 0.625 0.750
Au11 0.500 0.000 0.000
Au12 0.500 0.000 0.500
Au13 0.500 0.500 0.000
Au14 0.500 0.500 0.500
Au15 0.625 0.375 0.250
Au16 0.625 0.750 0.375
Au17 0.750 0.375 0.625
Au18 0.750 0.875 0.125
Au19 0.875 0.125 0.750
Au20 0.875 0.250 0.125
```